--- one ---
The following is a GGA-PBE calculation of Sr2NbAu after structural relaxation, from Alexandria via LeMat-Bulk.

Calculated values
SG: I-42d, No. 122
Fermi-level density of states (states/eV/f.u.): 3.2
M_tot (μB per formula unit): 3.9

a b c (Å): 7.053 7.053 7.053
angles (deg): 102.37 102.37 124.86
Fractional coordinates of all 8 atoms:
Sr 0.085 0.625 0.960
Sr 0.375 0.335 0.460
Sr 0.665 0.125 0.040
Sr 0.875 0.915 0.540
Nb 0.250 0.750 0.500
Nb 0.500 0.500 0.000
Au 0.000 0.000 0.000
Au 0.750 0.250 0.500

=====

--- two ---
The following is a GGA-PBE calculation of Sr2NbAu after structural relaxation, from Alexandria via LeMat-Bulk.

Calculated values
SG: Fm-3m, No. 225
Fermi-level density of states (states/eV/f.u.): 3.5
M_tot (μB per formula unit): 4.0

a b c (Å): 5.527 5.527 5.527
angles (deg): 60.00 60.00 60.00
Fractional coordinates of all 4 atoms:
Sr 0.250 0.250 0.250
Sr 0.750 0.750 0.750
Nb 0.000 0.000 0.000
Au 0.500 0.500 0.500

=====

Stability check: which of them is most stable? two.